Record 1
Density functional theory data (GGA-PBE) for a relaxed LaGe2Ru crystal.

```
LaGe2Ru
1.0
-2.430 2.430 8.227
2.430 -2.430 8.227
2.430 2.430 -8.227
La Ge Ru
2 4 2
Direct
0.000 0.000 0.000 La
0.750 0.250 0.500 La
0.302 0.625 0.177 Ge
0.375 0.552 0.677 Ge
0.448 0.125 0.823 Ge
0.875 0.698 0.323 Ge
0.250 0.750 0.500 Ru
0.500 0.500 0.000 Ru
```

Calculated formation energy ... -0.30 eV per atom
Space group ... I-42d (122)

Record 2
Density functional theory data (GGA-PBE) for a relaxed PmInGa crystal.

```
PmInGa
1.0
0.000 3.401 3.401
3.401 0.000 3.401
3.401 3.401 0.000
Pm In Ga
1 1 1
Direct
0.000 0.000 0.000 Pm
0.500 0.500 0.500 In
0.750 0.750 0.750 Ga
```

Distance to the lowest polymorph of the same formula ... 137 meV per atom
Calculated formation energy ... -0.41 eV per atom
Space group ... F-43m (216)

Record 3
Density functional theory data (GGA-PBE) for a relaxed AlGa2Rh3 crystal.

```
AlGa2Rh3
1.0
3.025 0.000 0.000
0.000 3.025 0.000
0.000 0.000 9.071
Al Ga Rh
1 2 3
Direct
0.000 0.000 0.000 Al
0.000 0.000 0.332 Ga
0.000 0.000 0.668 Ga
0.500 0.500 0.164 Rh
0.500 0.500 0.500 Rh
0.500 0.500 0.836 Rh
```

Calculated formation energy ... -0.82 eV per atom
Space group ... P4/mmm (123)

Record 4
Density functional theory data (GGA-PBE) for a relaxed LaPr2Dy5Ho crystal.

```
LaPr2Dy5Ho
1.0
-4.385 4.385 7.846
4.385 -4.385 7.846
4.385 4.385 -7.846
La Pr Dy Ho
2 4 10 2
Direct
0.250 0.250 0.000 La
0.750 0.750 0.000 La
0.118 0.618 0.736 Pr
0.382 0.118 0.500 Pr
0.618 0.882 0.500 Pr
0.882 0.382 0.264 Pr
0.000 0.000 0.000 Dy
0.072 0.152 0.500 Dy
0.152 0.652 0.080 Dy
0.348 0.428 0.500 Dy
0.428 0.928 0.080 Dy
0.500 0.500 0.000 Dy
0.572 0.072 0.920 Dy
0.652 0.572 0.500 Dy
0.848 0.348 0.920 Dy
0.928 0.848 0.500 Dy
0.250 0.750 0.500 Ho
0.750 0.250 0.500 Ho
```

Calculated formation energy ... 0.26 eV per atom
Space group ... I4/mcm (140)

Record 5
Density functional theory data (GGA-PBE) for a relaxed FeCoN3 crystal.

```
FeCoN3
1.0
3.615 0.000 0.000
0.000 3.615 0.000
0.000 0.000 3.615
Fe Co N
1 1 3
Direct
0.000 0.000 0.000 Fe
0.500 0.500 0.500 Co
0.000 0.000 0.500 N
0.000 0.500 0.000 N
0.500 0.000 0.000 N
```

Uncorrected formation energy ... 1433 meV/atom
Space group ... Pm-3m (221)

Record 6
Density functional theory data (GGA-PBE) for a relaxed InGa2HgBr6 crystal.

```
InGa2HgBr6
1.0
7.466 -7.011 0.000
7.466 7.011 0.000
-2.259 0.000 7.926
In Ga Hg Br
2 4 2 12
Direct
0.140 0.860 0.750 In
0.860 0.140 0.250 In
0.202 0.360 0.725 Ga
0.360 0.202 0.225 Ga
0.640 0.798 0.775 Ga
0.798 0.640 0.275 Ga
0.288 0.712 0.250 Hg
0.712 0.288 0.750 Hg
0.062 0.555 0.769 Br
0.067 0.164 0.635 Br
0.164 0.067 0.135 Br
0.337 0.358 0.498 Br
0.358 0.337 0.998 Br
0.445 0.938 0.731 Br
0.555 0.062 0.269 Br
0.642 0.663 0.002 Br
0.663 0.642 0.502 Br
0.836 0.933 0.865 Br
0.933 0.836 0.365 Br
0.938 0.445 0.231 Br
```

Uncorrected formation energy ... -598 meV/atom
Space group ... C2/c (15)

Record 7
Density functional theory data (GGA-PBE) for a relaxed NpRh2S5 crystal.

```
NpRh2S5
1.0
2.733 -5.911 0.000
2.733 5.911 0.000
-0.014 0.000 6.060
Np Rh S
1 2 5
Direct
0.000 0.000 0.000 Np
0.305 0.695 0.000 Rh
0.695 0.305 0.000 Rh
0.009 0.662 0.752 S
0.338 0.991 0.248 S
0.500 0.500 0.000 S
0.662 0.009 0.752 S
0.991 0.338 0.248 S
```

Uncorrected formation energy ... -443 meV/atom
Space group ... C2/m (12)

Record 8
Density functional theory data (GGA-PBE) for a relaxed YZr2InC crystal.

```
YZr2InC
1.0
4.617 0.000 0.000
0.000 4.617 0.000
0.000 0.000 4.849
Y Zr In C
1 2 1 1
Direct
0.000 0.000 0.000 Y
0.000 0.500 0.500 Zr
0.500 0.000 0.500 Zr
0.500 0.500 0.000 In
0.000 0.000 0.500 C
```

Calculated formation energy ... -0.50 eV per atom
Space group ... P4/mmm (123)

Record 9
Density functional theory data (GGA-PBE) for a relaxed BaSr crystal.

```
BaSr
1.0
4.430 0.000 0.000
0.000 4.430 0.000
0.000 0.000 6.076
Ba Sr
1 1
Direct
0.000 0.000 0.000 Ba
0.500 0.500 0.500 Sr
```

Distance to the lowest polymorph of the same formula ... 13 meV per atom
Calculated formation energy ... 0.01 eV per atom
Space group ... P4/mmm (123)

Record 10
Density functional theory data (GGA-PBE) for a relaxed NpAlN2 crystal.

```
NpAlN2
1.0
1.776 1.025 5.685
-1.776 1.025 5.685
0.000 -2.051 5.685
Np Al N
1 1 2
Direct
0.000 0.000 0.000 Np
0.500 0.500 0.500 Al
0.391 0.391 0.391 N
0.609 0.609 0.609 N
```

Uncorrected formation energy ... -715 meV/atom
Space group ... R-3m (166)

Record 11
Density functional theory data (GGA-PBE) for a relaxed LiCd2Ag7 crystal.

```
LiCd2Ag7
1.0
4.274 0.000 0.000
2.079 4.678 0.000
0.002 0.474 9.087
Li Cd Ag
1 2 7
Direct
0.000 0.000 0.000 Li
0.103 0.793 0.703 Cd
0.201 0.598 0.386 Cd
0.298 0.402 0.089 Ag
0.409 0.182 0.800 Ag
0.501 0.996 0.491 Ag
0.596 0.807 0.184 Ag
0.709 0.582 0.897 Ag
0.804 0.392 0.595 Ag
0.898 0.202 0.286 Ag
```

Distance to the lowest polymorph of the same formula ... 0 meV per atom
Calculated formation energy ... -0.07 eV per atom
Space group ... P1 (1)

Record 12
Density functional theory data (GGA-PBE) for a relaxed PmDy5Ir6 crystal.

```
PmDy5Ir6
1.0
4.759 0.000 0.000
0.000 7.187 0.000
-2.368 0.000 7.147
Pm Dy Ir
1 5 6
Direct
0.000 0.000 0.000 Pm
0.000 0.500 0.000 Dy
0.333 0.000 0.665 Dy
0.333 0.500 0.666 Dy
0.667 0.000 0.335 Dy
0.667 0.500 0.334 Dy
0.168 0.252 0.337 Ir
0.168 0.748 0.337 Ir
0.500 0.256 0.000 Ir
0.500 0.744 0.000 Ir
0.832 0.252 0.663 Ir
0.832 0.748 0.663 Ir
```

Calculated formation energy ... -0.78 eV per atom
Space group ... P2/m (10)

Record 13
Density functional theory data (GGA-PBE) for a relaxed BaBBr3 crystal.

```
BaBBr3
1.0
6.293 0.000 0.000
0.000 6.293 0.000
0.000 0.000 6.293
Ba B Br
1 1 3
Direct
0.000 0.000 0.000 Ba
0.500 0.500 0.500 B
0.000 0.000 0.500 Br
0.000 0.500 0.000 Br
0.500 0.000 0.000 Br
```

Uncorrected formation energy ... -97 meV/atom
Space group ... Pm-3m (221)

Record 14
Density functional theory data (GGA-PBE) for a relaxed CoAsN3 crystal.

```
CoAsN3
1.0
3.707 0.000 0.000
0.000 3.707 0.000
0.000 0.000 3.707
Co As N
1 1 3
Direct
0.000 0.000 0.000 Co
0.500 0.500 0.500 As
0.000 0.500 0.500 N
0.500 0.000 0.500 N
0.500 0.500 0.000 N
```

Uncorrected formation energy ... 1771 meV/atom
Space group ... Pm-3m (221)

Record 15
Density functional theory data (GGA-PBE) for a relaxed KNp4Cu3S12 crystal.

```
KNp4Cu3S12
1.0
-4.831 4.831 4.831
4.831 -4.831 4.831
4.831 4.831 -4.831
K Np Cu S
1 4 3 12
Direct
0.000 0.000 0.000 K
0.000 0.000 0.500 Np
0.000 0.500 0.000 Np
0.500 0.000 0.000 Np
0.500 0.500 0.500 Np
0.000 0.500 0.500 Cu
0.500 0.000 0.500 Cu
0.500 0.500 0.000 Cu
0.152 0.319 0.833 S
0.167 0.486 0.319 S
0.167 0.848 0.681 S
0.319 0.167 0.486 S
0.319 0.833 0.152 S
0.486 0.319 0.167 S
0.514 0.681 0.833 S
0.681 0.167 0.848 S
0.681 0.833 0.514 S
0.833 0.152 0.319 S
0.833 0.514 0.681 S
0.848 0.681 0.167 S
```

Uncorrected formation energy ... -802 meV/atom
Space group ... Im-3 (204)

Record 16
Density functional theory data (GGA-PBE) for a relaxed Pr3Sm4Pt4 crystal.

```
Pr3Sm4Pt4
1.0
-2.360 3.935 7.973
2.360 -3.935 7.973
2.360 3.935 -7.973
Pr Sm Pt
3 4 4
Direct
0.000 0.000 0.000 Pr
0.400 0.900 0.500 Pr
0.600 0.100 0.500 Pr
0.045 0.330 0.715 Sm
0.385 0.670 0.715 Sm
0.615 0.330 0.285 Sm
0.955 0.670 0.285 Sm
0.206 0.206 0.000 Pt
0.316 0.500 0.816 Pt
0.684 0.500 0.184 Pt
0.794 0.794 0.000 Pt
```

Calculated formation energy ... -0.81 eV per atom
Space group ... Immm (71)

Record 17
Density functional theory data (GGA-PBE) for a relaxed ZrIn2W crystal.

```
ZrIn2W
1.0
1.851 -2.327 0.000
1.851 2.327 0.000
0.000 0.000 9.401
Zr In W
1 2 1
Direct
0.000 0.000 0.000 Zr
0.500 0.500 0.262 In
0.500 0.500 0.738 In
0.000 0.000 0.500 W
```

Distance to the lowest polymorph of the same formula ... 75 meV per atom
Calculated formation energy ... 0.28 eV per atom
Space group ... Cmmm (65)

Record 18
Density functional theory data (GGA-PBE) for a relaxed Tc2AuI crystal.

```
Tc2AuI
1.0
-2.739 2.739 6.615
2.739 -2.739 6.615
2.739 2.739 -6.615
Tc Au I
4 2 2
Direct
0.124 0.625 0.999 Tc
0.375 0.374 0.499 Tc
0.626 0.125 0.001 Tc
0.875 0.876 0.501 Tc
0.000 0.000 0.000 Au
0.750 0.250 0.500 Au
0.250 0.750 0.500 I
0.500 0.500 0.000 I
```

Distance to the lowest polymorph of the same formula ... 586 meV per atom
Uncorrected formation energy ... 1484 meV/atom
Space group ... I-42d (122)